Below is crystalline PrHo2Si at its relaxed geometry, with properties calculated at the PBE-GGA level.

Properties
formation energy without anion corrections = -0.03 eV per atom
space-group type = No. 166
ΔE to the lowest computed polymorph = 151.8 meV/atom

```
PrHo2Si
1.0
3.5812 0.0000 0.0000
1.7906 3.1014 0.0000
1.7906 1.0338 10.8809
Ho Si Pr
2 1 1
Cartesian
5.3718 3.1014 3.5232
1.7906 1.0338 7.3577
3.5812 2.0676 5.4404
0.0000 0.0000 0.0000
```

Below is crystalline Pr2HoSi at its relaxed geometry, with properties calculated at the PBE-GGA level.

Properties
formation energy without anion corrections = -0.23 eV per atom
space-group type = No. 123
ΔE to the lowest computed polymorph = 0.0 meV/atom

```
Pr2HoSi
1.0
-3.2831 -3.5061 -0.1322
0.7583 -0.8833 4.5947
-3.3769 3.1185 1.1569
Pr Ho Si
2 1 1
Cartesian
-1.6884 1.5592 0.5784
0.3792 -0.4417 2.2973
-1.6416 -1.7531 -0.0661
-2.9508 -0.6355 2.8097
```

Below is crystalline PrHoSi2 at its relaxed geometry, with properties calculated at the PBE-GGA level.

Properties
formation energy without anion corrections = -0.76 eV per atom
space-group type = No. 38
ΔE to the lowest computed polymorph = 0.0 meV/atom

```
PrHoSi2
1.0
-0.6625 3.4220 2.6678
0.6635 -2.2788 3.0877
5.5861 -0.5053 -1.5733
Si Pr Ho
2 1 1
Cartesian
4.9634 -1.0394 0.6225
3.0882 -0.2551 -0.8518
5.0411 1.9794 0.3776
2.4308 0.1669 2.0569
```

Below is crystalline PrHoSi at its relaxed geometry, with properties calculated at the PBE-GGA level.

Properties
formation energy without anion corrections = -0.53 eV per atom
space-group type = No. 139
ΔE to the lowest computed polymorph = 5.8 meV/atom

```
PrHoSi
1.0
-2.6590 -1.9350 -3.0093
1.4623 -4.0097 1.2862
-5.3619 2.5708 6.3861
Si Pr Ho
2 2 2
Cartesian
-1.5202 -0.1024 1.4091
-5.0383 -3.2714 3.2539
-3.8154 -0.2570 3.5365
-2.7431 -3.1168 1.1265
-1.3295 -0.9675 -1.5046
0.7312 -2.0048 0.6431
```

Below is crystalline Pr2Ho3Si4 at its relaxed geometry, with properties calculated at the PBE-GGA level.

Properties
formation energy without anion corrections = -0.76 eV per atom
space-group type = No. 14

```
Pr2Ho3Si4
1.0
7.5035 0.1033 0.0000
-2.3654 7.3822 0.0000
0.0000 0.0000 7.8046
Pr Si Ho
4 8 6
Cartesian
3.9019 1.5190 2.5223
1.2362 5.9665 5.2823
4.9880 6.0182 6.4246
0.1502 1.4674 1.3800
2.4883 6.8662 0.2485
-0.2671 3.7464 6.8814
3.4847 3.7980 4.8255
6.4016 0.6710 4.1508
2.6499 0.6194 7.5561
5.4052 3.7392 0.9232
1.6535 3.6875 2.9791
-1.2635 6.8145 3.6538
2.5691 3.7428 0.0000
1.3178 1.8391 5.3088
0.0686 5.5948 1.4065
-1.1827 3.6911 3.9023
3.8203 5.6464 2.4958
5.0696 1.8908 6.3981
```

Below is crystalline PrHoSi at its relaxed geometry, with properties calculated at the PBE-GGA level.

Properties
formation energy without anion corrections = -0.43 eV per atom
space-group type = No. 216
ΔE to the lowest computed polymorph = 102.5 meV/atom

```
PrHoSi
1.0
-1.3668 -2.7623 -3.8712
-1.0528 -4.7937 0.6299
-4.6739 -1.5781 -0.3862
Ho Si Pr
1 1 1
Cartesian
0.0000 0.0000 0.0000
-1.7734 -2.2835 -0.9069
-3.5467 -4.5670 -1.8138
```